Record 1
# SmDy2TmAs4 (GGA-PBE, relaxed)
data_SmDy2TmAs4
_chemical_formula_sum 'Sm1 Dy2 Tm1 As4'
_symmetry_space_group_name_H-M 'P 1 2/m 1'
_symmetry_Int_Tables_number 10
_cell_length_a 7.1511
_cell_length_b 4.1317
_cell_length_c 7.1528
_cell_angle_alpha 90.00
_cell_angle_beta 109.47
_cell_angle_gamma 90.00
loop_
_symmetry_equiv_pos_as_xyz
'x,y,z'
'-x,-y,-z'
'-x,y,-z'
'x,-y,z'
loop_
_atom_site_label
_atom_site_type_symbol
_atom_site_fract_x
_atom_site_fract_y
_atom_site_fract_z
_atom_site_occupancy
Sm1 Sm 0.0000 0.0000 0.0000 1
Dy1 Dy 0.0000 0.5000 0.5000 1
Dy2 Dy 0.5000 0.0000 0.5000 1
Tm1 Tm 0.5000 0.5000 0.0000 1
As1 As 0.2543 0.0000 0.7504 1
As2 As 0.2552 0.5000 0.2528 1
# - E_tot (eV per atom) = -6.145
# - energy of formation from the pure elements (meV per atom) = -1521
# - total moment (Bohr magnetons per cell) = 0.0
# - D(E_F) (states/eV/cell) = 0.91



Record 2
# KAcMnCl6 (GGA-PBE, relaxed)
data_KAcMnCl6
_chemical_formula_sum 'K2 Ac2 Mn2 Cl12'
_symmetry_space_group_name_H-M 'P -3 1 c'
_symmetry_Int_Tables_number 163
_symmetry_space_group_name_Hall '-P 3 2c'
_cell_length_a 7.1301
_cell_length_b 7.1301
_cell_length_c 13.5682
_cell_angle_alpha 90.00
_cell_angle_beta 90.00
_cell_angle_gamma 120.00
loop_
_atom_site_label
_atom_site_type_symbol
_atom_site_fract_x
_atom_site_fract_y
_atom_site_fract_z
_atom_site_occupancy
K1 K 0.0000 0.0000 0.0000 1
Ac1 Ac 0.3333 0.6667 0.2500 1
Mn1 Mn 0.3333 0.6667 0.7500 1
Cl1 Cl 0.0352 0.3818 0.6395 1
# - E_tot (eV per atom) = -4.704
# - total moment (Bohr magnetons per cell) = 10.0
# - D(E_F) (states/eV/cell) = 0.00
# - raw formation energy (eV per atom) = -1.88



Record 3
# ScIrSe2 (GGA-PBE, relaxed)
data_ScIrSe2
_chemical_formula_sum 'Sc2 Ir2 Se4'
_symmetry_space_group_name_H-M 'C m m m'
_symmetry_Int_Tables_number 65
_symmetry_space_group_name_Hall '-C 2 2'
_cell_length_a 3.8860
_cell_length_b 6.0640
_cell_length_c 6.6798
_cell_angle_alpha 90.00
_cell_angle_beta 90.00
_cell_angle_gamma 90.00
loop_
_atom_site_label
_atom_site_type_symbol
_atom_site_fract_x
_atom_site_fract_y
_atom_site_fract_z
_atom_site_occupancy
Sc1 Sc 0.0000 0.0000 0.0000 1
Ir1 Ir 0.0000 0.0000 0.5000 1
Se1 Se 0.0000 0.5000 0.2675 1
# - E_tot (eV per atom) = -5.849
# - polymorph energy (0 for the lowest one) (meV per atom) = 587
# - total moment (Bohr magnetons per cell) = 0.0
# - D(E_F) (states/eV/cell) = 4.88
# - raw formation energy (eV per atom) = -0.31



Record 4
# Dy4Er3Th (GGA-PBE, relaxed)
data_Dy4Er3Th
_chemical_formula_sum 'Dy8 Er6 Th2'
_symmetry_space_group_name_H-M 'C 1 2/m 1'
_symmetry_Int_Tables_number 12
_cell_length_a 23.2237
_cell_length_b 3.4394
_cell_length_c 6.6823
_cell_angle_alpha 90.00
_cell_angle_beta 106.70
_cell_angle_gamma 90.00
loop_
_symmetry_equiv_pos_as_xyz
'x,y,z'
'-x,-y,-z'
'-x,y,-z'
'x,-y,z'
'x+1/2,y+1/2,z'
'-x+1/2,-y+1/2,-z'
'-x+1/2,y+1/2,-z'
'x+1/2,-y+1/2,z'
loop_
_atom_site_label
_atom_site_type_symbol
_atom_site_fract_x
_atom_site_fract_y
_atom_site_fract_z
_atom_site_occupancy
Dy1 Dy 0.1237 0.0000 0.3652 1
Dy2 Dy 0.2409 0.5000 0.2394 1
Er1 Er 0.0000 0.0000 0.5000 1
Er2 Er 0.1240 0.0000 0.8841 1
Th1 Th 0.0000 0.5000 0.0000 1
# - E_tot (eV per atom) = -4.765
# - energy of formation from the pure elements (meV per atom) = 175
# - polymorph energy (0 for the lowest one) (meV per atom) = 155
# - total moment (Bohr magnetons per cell) = 0.0
# - D(E_F) (states/eV/cell) = 27.51



Record 5
# PmHo2Zn2In2 (GGA-PBE, relaxed)
data_PmHo2Zn2In2
_chemical_formula_sum 'Pm3 Ho6 Zn6 In6'
_symmetry_space_group_name_H-M 'R -3 m'
_symmetry_Int_Tables_number 166
_symmetry_space_group_name_Hall '-R 3 2"'
_cell_length_a 4.7248
_cell_length_b 4.7248
_cell_length_c 27.3746
_cell_angle_alpha 90.00
_cell_angle_beta 90.00
_cell_angle_gamma 120.00
loop_
_atom_site_label
_atom_site_type_symbol
_atom_site_fract_x
_atom_site_fract_y
_atom_site_fract_z
_atom_site_occupancy
Pm1 Pm 0.0000 0.0000 0.0000 1
Ho1 Ho 0.0000 0.0000 0.1286 1
Zn1 Zn 0.0000 0.0000 0.4035 1
In1 In 0.0000 0.0000 0.2603 1
# - E_tot (eV per atom) = -3.417
# - energy of formation from the pure elements (meV per atom) = -284
# - total moment (Bohr magnetons per cell) = 0.0
# - D(E_F) (states/eV/cell) = 10.28



Record 6
# NbIn2HgTe (GGA-PBE, relaxed)
data_NbIn2HgTe
_chemical_formula_sum 'Nb1 In2 Hg1 Te1'
_symmetry_space_group_name_H-M 'P 4/m m m'
_symmetry_Int_Tables_number 123
_symmetry_space_group_name_Hall '-P 4 2'
_cell_length_a 5.5969
_cell_length_b 5.5969
_cell_length_c 5.4281
_cell_angle_alpha 90.00
_cell_angle_beta 90.00
_cell_angle_gamma 90.00
loop_
_atom_site_label
_atom_site_type_symbol
_atom_site_fract_x
_atom_site_fract_y
_atom_site_fract_z
_atom_site_occupancy
Nb1 Nb 0.0000 0.0000 0.0000 1
In1 In 0.0000 0.5000 0.0000 1
Hg1 Hg 0.0000 0.0000 0.5000 1
Te1 Te 0.5000 0.5000 0.5000 1
# - E_tot (eV per atom) = -3.088
# - polymorph energy (0 for the lowest one) (meV per atom) = 484
# - total moment (Bohr magnetons per cell) = 1.8
# - D(E_F) (states/eV/cell) = 7.72
# - raw formation energy (eV per atom) = 0.71



Record 7
# PrPaNbN3 (GGA-PBE, relaxed)
data_PrPaNbN3
_chemical_formula_sum 'Pr2 Pa2 Nb2 N6'
_symmetry_space_group_name_H-M 'P 1 21/m 1'
_symmetry_Int_Tables_number 11
_cell_length_a 7.3187
_cell_length_b 3.3710
_cell_length_c 8.2714
_cell_angle_alpha 90.00
_cell_angle_beta 94.15
_cell_angle_gamma 90.00
loop_
_symmetry_equiv_pos_as_xyz
'x,y,z'
'-x,-y,-z'
'-x,y+1/2,-z'
'x,-y+1/2,z'
loop_
_atom_site_label
_atom_site_type_symbol
_atom_site_fract_x
_atom_site_fract_y
_atom_site_fract_z
_atom_site_occupancy
Pr1 Pr 0.1380 0.2500 0.1751 1
Pa1 Pa 0.3671 0.7500 0.8408 1
Nb1 Nb 0.1314 0.2500 0.5645 1
N1 N 0.1479 0.2500 0.8488 1
N2 N 0.1686 0.7500 0.4104 1
N3 N 0.4124 0.7500 0.1080 1
# - E_tot (eV per atom) = -9.310
# - total moment (Bohr magnetons per cell) = 0.0
# - D(E_F) (states/eV/cell) = 5.21
# - raw formation energy (eV per atom) = -1.09



Record 8
# Ho2Ga9Co3 (GGA-PBE, relaxed)
data_Ho2Ga9Co3
_chemical_formula_sum 'Ho8 Ga36 Co12'
_symmetry_space_group_name_H-M 'C m c m'
_symmetry_Int_Tables_number 63
_symmetry_space_group_name_Hall '-C 2c 2'
_cell_length_a 12.7129
_cell_length_b 7.3738
_cell_length_c 9.3977
_cell_angle_alpha 90.00
_cell_angle_beta 90.00
_cell_angle_gamma 90.00
loop_
_atom_site_label
_atom_site_type_symbol
_atom_site_fract_x
_atom_site_fract_y
_atom_site_fract_z
_atom_site_occupancy
Ho1 Ho 0.1644 0.1671 0.2500 1
Ga1 Ga 0.0000 0.1208 0.7500 1
Ga2 Ga 0.0000 0.3334 0.0583 1
Ga3 Ga 0.1071 0.4436 0.7500 1
Ga4 Ga 0.1672 0.1670 0.5721 1
Co1 Co 0.0000 0.0000 0.0000 1
Co2 Co 0.1709 0.5000 0.0000 1
# - E_tot (eV per atom) = -4.609
# - energy of formation from the pure elements (meV per atom) = -486
# - total moment (Bohr magnetons per cell) = 0.0
# - D(E_F) (states/eV/cell) = 27.86



Record 9
# CoB2Ir (GGA-PBE, relaxed)
data_CoB2Ir
_chemical_formula_sum 'Co3 B6 Ir3'
_symmetry_space_group_name_H-M 'R 3 m'
_symmetry_Int_Tables_number 160
_symmetry_space_group_name_Hall 'R 3 -2"'
_cell_length_a 3.1516
_cell_length_b 3.1516
_cell_length_c 13.6623
_cell_angle_alpha 90.00
_cell_angle_beta 90.00
_cell_angle_gamma 120.00
loop_
_atom_site_label
_atom_site_type_symbol
_atom_site_fract_x
_atom_site_fract_y
_atom_site_fract_z
_atom_site_occupancy
Co1 Co 0.0000 0.0000 0.0000 1
B1 B 0.0000 0.0000 0.2555 1
B2 B 0.0000 0.0000 0.3922 1
Ir1 Ir 0.0000 0.0000 0.8181 1
# - E_tot (eV per atom) = -7.428
# - energy of formation from the pure elements (meV per atom) = -98
# - polymorph energy (0 for the lowest one) (meV per atom) = 0
# - total moment (Bohr magnetons per cell) = 0.0
# - D(E_F) (states/eV/cell) = 2.87



Record 10
# Sm3MgCo (GGA-PBE, relaxed)
data_Sm3MgCo
_chemical_formula_sum 'Sm12 Mg4 Co4'
_symmetry_space_group_name_H-M 'C 1 2/m 1'
_symmetry_Int_Tables_number 12
_cell_length_a 18.8781
_cell_length_b 3.6750
_cell_length_c 8.0481
_cell_angle_alpha 90.00
_cell_angle_beta 91.17
_cell_angle_gamma 90.00
loop_
_symmetry_equiv_pos_as_xyz
'x,y,z'
'-x,-y,-z'
'-x,y,-z'
'x,-y,z'
'x+1/2,y+1/2,z'
'-x+1/2,-y+1/2,-z'
'-x+1/2,y+1/2,-z'
'x+1/2,-y+1/2,z'
loop_
_atom_site_label
_atom_site_type_symbol
_atom_site_fract_x
_atom_site_fract_y
_atom_site_fract_z
_atom_site_occupancy
Sm1 Sm 0.0387 0.0000 0.1937 1
Sm2 Sm 0.0957 0.5000 0.5746 1
Sm3 Sm 0.1739 0.0000 0.9081 1
Mg1 Mg 0.2175 0.0000 0.3517 1
Co1 Co 0.0635 0.5000 0.9084 1
# - E_tot (eV per atom) = -4.583
# - energy of formation from the pure elements (meV per atom) = -12
# - polymorph energy (0 for the lowest one) (meV per atom) = 43
# - total moment (Bohr magnetons per cell) = 0.0
# - D(E_F) (states/eV/cell) = 22.18



Record 11
# Sc4UAs5 (GGA-PBE, relaxed)
data_Sc4UAs5
_chemical_formula_sum 'Sc8 U2 As10'
_symmetry_space_group_name_H-M 'I m m m'
_symmetry_Int_Tables_number 71
_symmetry_space_group_name_Hall '-I 2 2'
_cell_length_a 3.9094
_cell_length_b 5.5757
_cell_length_c 19.6428
_cell_angle_alpha 90.00
_cell_angle_beta 90.00
_cell_angle_gamma 90.00
loop_
_atom_site_label
_atom_site_type_symbol
_atom_site_fract_x
_atom_site_fract_y
_atom_site_fract_z
_atom_site_occupancy
Sc1 Sc 0.0000 0.0000 0.1024 1
Sc2 Sc 0.0000 0.0000 0.2958 1
U1 U 0.0000 0.0000 0.5000 1
As1 As 0.0000 0.5000 0.1047 1
As2 As 0.0000 0.5000 0.3003 1
As3 As 0.0000 0.5000 0.5000 1
# - E_tot (eV per atom) = -7.225
# - energy of formation from the pure elements (meV per atom) = -1239
# - total moment (Bohr magnetons per cell) = 4.7
# - D(E_F) (states/eV/cell) = 12.30



Record 12
# CsHf3S (GGA-PBE, relaxed)
data_CsHf3S
_chemical_formula_sum 'Cs1 Hf3 S1'
_symmetry_space_group_name_H-M 'P m -3 m'
_symmetry_Int_Tables_number 221
_symmetry_space_group_name_Hall '-P 4 2 3'
_cell_length_a 5.2736
_cell_length_b 5.2736
_cell_length_c 5.2736
_cell_angle_alpha 90.00
_cell_angle_beta 90.00
_cell_angle_gamma 90.00
loop_
_atom_site_label
_atom_site_type_symbol
_atom_site_fract_x
_atom_site_fract_y
_atom_site_fract_z
_atom_site_occupancy
Cs1 Cs 0.0000 0.0000 0.0000 1
Hf1 Hf 0.0000 0.0000 0.5000 1
S1 S 0.5000 0.5000 0.5000 1
# - E_tot (eV per atom) = -4.470
# - polymorph energy (0 for the lowest one) (meV per atom) = 2036
# - total moment (Bohr magnetons per cell) = 0.0
# - D(E_F) (states/eV/cell) = 6.25
# - raw formation energy (eV per atom) = 2.50